Computed, not measured: a relaxed La6Tb5In crystal at the PBE level of DFT.

SG: Immm
Formation enthalpy at 0 K, eV per atom: -0.06

POSCAR file:
```
La6Tb5In
1.0
-2.563 5.046 7.790
2.563 -5.046 7.790
2.563 5.046 -7.790
La Tb In
6 5 1
direct
0.080 0.335 0.745 La
0.243 0.000 0.243 La
0.410 0.665 0.745 La
0.590 0.335 0.255 La
0.757 0.000 0.757 La
0.920 0.665 0.255 La
0.169 0.169 0.000 Tb
0.335 0.835 0.500 Tb
0.500 0.500 0.000 Tb
0.665 0.165 0.500 Tb
0.831 0.831 0.000 Tb
0.000 0.500 0.500 In
```

Computed, not measured: a relaxed La5Tb12In2 crystal at the PBE level of DFT.

SG: C2/m
Formation enthalpy at 0 K, eV per atom: -0.02

POSCAR file:
```
La5Tb12In2
1.0
7.806 -4.666 0.000
7.806 4.666 0.000
-0.420 0.000 8.536
La Tb In
5 12 2
direct
0.000 0.000 0.000 La
0.233 0.233 0.078 La
0.303 0.303 0.485 La
0.697 0.697 0.515 La
0.767 0.767 0.922 La
0.041 0.675 0.263 Tb
0.075 0.075 0.382 Tb
0.181 0.566 0.827 Tb
0.325 0.959 0.737 Tb
0.434 0.819 0.173 Tb
0.447 0.447 0.173 Tb
0.553 0.553 0.827 Tb
0.566 0.181 0.827 Tb
0.675 0.041 0.263 Tb
0.819 0.434 0.173 Tb
0.925 0.925 0.618 Tb
0.959 0.325 0.737 Tb
0.323 0.677 0.500 In
0.677 0.323 0.500 In
```

Number 1: calculated density 7.18 g/cm³. Number 2: calculated density 7.56 g/cm³.